1.
DFT (PBE) results for crystalline NbCl2F at its relaxed geometry.

Cell: 4.4169 4.4169 4.4169 Å, 60.00 60.00 60.00°
Atoms (fractional coordinates):
Cl 0.7500 0.7500 0.7500
Cl 0.2500 0.2500 0.2500
F 0.0000 0.0000 0.0000
Nb 0.5000 0.5000 0.5000

Output
Density (g/cm³): 4.98
E above lowest polymorph (meV/atom): 814

=====

2.
DFT (PBE) results for crystalline Rb3NbCl2F6 at its relaxed geometry.

Cell: 4.9344 8.0385 9.0725 Å, 116.30 92.84 90.00°
Atoms (fractional coordinates):
Cl 0.0001 0.6947 0.3894
Cl 0.9999 0.3053 0.6106
Rb 0.0000 0.5000 0.0000
Rb 0.5000 0.5000 0.5000
Rb 0.5000 0.0000 0.5000
F 0.2519 0.7878 0.9248
F 0.3559 0.1090 0.2181
F 0.2519 0.1371 0.9248
F 0.7481 0.2122 0.0752
F 0.6441 0.8910 0.7819
F 0.7481 0.8629 0.0752
Nb 0.5000 0.0000 0.0000

Output
Density (g/cm³): 2.75

=====

3.
DFT (PBE) results for crystalline Rb2NbClF6 at its relaxed geometry.

Cell: 8.2069 7.9841 7.8450 Å, 42.83 42.31 52.31°
Atoms (fractional coordinates):
F 0.2479 0.2438 0.9224
F 0.1542 0.0377 0.4584
F 0.5070 0.5597 0.6453
F 0.0233 0.5456 0.1106
F 0.3567 0.4042 0.1926
F 0.6262 0.0723 0.9972
Cl 0.6993 0.9470 0.5392
Rb 0.6227 0.5587 0.1853
Rb 0.0997 0.9881 0.9099
Nb 0.3246 0.3047 0.0543

Output
Density (g/cm³): 2.95
E above lowest polymorph (meV/atom): 0

=====

4.
DFT (PBE) results for crystalline Rb2NbClF6 at its relaxed geometry.

Cell: 7.0822 7.0822 7.0820 Å, 60.00 60.00 90.00°
Atoms (fractional coordinates):
Nb 0.0000 0.0000 0.0000
Rb 0.2500 0.7500 0.5000
Rb 0.7500 0.2500 0.5000
F 0.8067 0.8067 0.3866
F 0.1933 0.1933 0.0000
F 0.8067 0.8067 0.0000
F 0.1933 0.8067 0.0000
F 0.1933 0.1933 0.6134
F 0.8067 0.1933 0.0000
Cl 0.5000 0.5000 0.0000

Output
Density (g/cm³): 2.73
E above lowest polymorph (meV/atom): 169

=====

5.
DFT (PBE) results for crystalline Rb2NbCl2F4 at its relaxed geometry.

Cell: 5.2610 7.0444 7.0444 Å, 53.79 93.02 93.02°
Atoms (fractional coordinates):
Rb 0.8494 0.3595 0.3595
Rb 0.1506 0.6405 0.6405
Cl 0.3322 0.1815 0.1815
Cl 0.6678 0.8185 0.8185
Nb 0.5000 0.0000 0.0000
F 0.7355 0.2786 0.8121
F 0.7355 0.8121 0.2786
F 0.2645 0.1879 0.7214
F 0.2645 0.7214 0.1879

Output
Density (g/cm³): 3.24

=====

6.
DFT (PBE) results for crystalline NbSeClF2 at its relaxed geometry.

Cell: 3.9192 7.2618 3.9192 Å, 90.00 90.00 90.00°
Atoms (fractional coordinates):
Nb 0.5000 0.5000 0.5000
F 0.5000 0.0000 0.0000
F 0.0000 0.0000 0.5000
Se 0.0000 0.5000 0.0000
Cl 0.0000 0.0000 0.0000

Output
Density (g/cm³): 3.65

=====

no.,raw formation energy (eV per atom)
1,-0.86
2,-2.68
3,-2.83
4,-2.66
5,-2.52
6,0.06